[1]
The following is a GGA-PBE calculation of a relaxed CeEuOs crystal, from the Alexandria database.

The structure in extended XYZ format:
```
3
Lattice="3.466 0.000 0.000 0.000 3.466 0.000 -1.733 -1.733 6.759" Properties=species:S:1:pos:R:3 pbc="T T T"
Ce 1.733 1.733 2.889
Os 0.000 0.000 4.327
Eu 1.733 1.733 6.302
```

**Energy of formation**: 0.003 eV per atom
**Total magnetization**: 7.33 μB per formula unit

[2]
The following is a GGA-PBE calculation of a relaxed Ce2EuOs crystal, from the Alexandria database.

The structure in extended XYZ format:
```
4
Lattice="-3.005 -1.846 3.156 -3.836 -2.345 -1.476 0.383 -5.749 0.551" Properties=species:S:1:pos:R:3 pbc="T T T"
Os 0.000 0.000 0.000
Eu -3.229 -4.970 1.116
Ce -1.726 -2.303 0.558
Ce -4.732 -7.636 1.673
```

**Energy of formation**: 0.130 eV per atom
**Total magnetization**: 8.47 μB per formula unit
**Distance to the lowest polymorph of the same formula**: 101 meV per atom

no.,volume (A^3/atom)
1,27.062
2,24.738